1.
## CdAgSe2 (PBE)

Data for an optimized crystal structure of CdAgSe2.

Computed properties:
Formation energy without anion corrections in eV per atom: -0.2289
Total moment in μB per formula unit: 0.000

a = 7.392 Å, b = 3.929 Å, c = 7.161 Å
α = 90.00°, β = 113.90°, γ = 90.00°
Space group C2/m (No. 12)
Unique sites:
Cd 0.000 0.000 0.000 x2
Ag 0.000 0.500 0.500 x2
Se 0.189 0.000 0.753 x4

2.
## CdAgSe2 (PBE)

Data for an optimized crystal structure of CdAgSe2.

Computed properties:
Formation energy without anion corrections in eV per atom: -0.0473
Total moment in μB per formula unit: 0.000

a = 8.577 Å, b = 3.340 Å, c = 7.029 Å
α = 90.00°, β = 95.11°, γ = 90.00°
Space group Cm (No. 8)
Unique sites:
Cd 0.000 0.000 0.000 x2
Ag 0.248 0.500 0.255 x2
Se 0.266 0.000 0.824 x2
Se 0.477 0.000 0.377 x2

3.
## CdAg2Se (PBE)

Data for an optimized crystal structure of CdAg2Se.

Computed properties:
Formation energy without anion corrections in eV per atom: 0.0803
Energy above the most stable polymorph in this dataset in kJ/mol of formula units: 49.1
Total moment in μB per formula unit: 0.000

a = 3.1641 Å, b = 3.1641 Å, c = 27.4417 Å
α = 90.00°, β = 90.00°, γ = 120.00°
Space group R-3m (No. 166, hexagonal axes)
Unique sites:
Cd 0.0000 0.0000 0.0000 x3
Ag 0.0000 0.0000 0.2482 x6
Se 0.0000 0.0000 0.5000 x3

4.
## CdAg2Se (PBE)

Data for an optimized crystal structure of CdAg2Se.

Computed properties:
Formation energy without anion corrections in eV per atom: 0.0994
Energy above the most stable polymorph in this dataset in kJ/mol of formula units: 56.5
Total moment in μB per formula unit: 0.000

a = 5.477 Å, b = 5.477 Å, c = 15.130 Å
α = 90.00°, β = 90.00°, γ = 90.00°
Space group I-42d (No. 122)
Unique sites:
Cd 0.000 0.000 0.000 x4
Ag 0.187 0.250 0.625 x8
Se 0.000 0.000 0.500 x4

5.
## CdAgSe2 (PBE)

Data for an optimized crystal structure of CdAgSe2.

Computed properties:
Formation energy without anion corrections in eV per atom: -0.1329
Total moment in μB per formula unit: 0.000

a = 3.9532 Å, b = 3.9532 Å, c = 20.2207 Å
α = 90.00°, β = 90.00°, γ = 120.00°
Space group R3m (No. 160, hexagonal axes)
Unique sites:
Cd 0.0000 0.0000 0.0000 x3
Ag 0.0000 0.0000 0.8324 x3
Se 0.0000 0.0000 0.2463 x3
Se 0.0000 0.0000 0.4206 x3

6.
## Cd3AgSe (PBE)

Data for an optimized crystal structure of Cd3AgSe.

Computed properties:
Formation energy without anion corrections in eV per atom: 0.4216
Energy above the most stable polymorph in this dataset in kJ/mol of formula units: 58.6
Total moment in μB per formula unit: 0.000

a = 5.411 Å, b = 5.411 Å, c = 5.411 Å
α = 90.00°, β = 90.00°, γ = 90.00°
Space group Pm-3m (No. 221)
Unique sites:
Cd 0.000 0.000 0.500 x3
Ag 0.500 0.500 0.500 x1
Se 0.000 0.000 0.000 x1